Computed, not measured: a relaxed Cu2Rh crystal at the PBEsol level of DFT.

Cell: 2.618 2.618 5.632 Å, 103.44 103.44 90.00°
Fractional coordinates of all 3 atoms:
Rh  0.000  0.000  0.000
Cu  0.671  0.671  0.342
Cu  0.329  0.329  0.658

Output
* volume: 36.46 Å³ per cell
* ΔH_f (0 K): 0.08 eV per atom
* size of the total moment: 0.0 μB per cell
* polymorph energy (0 for the lowest one): 38 meV per atom
* space-group type: I4/mmm (139)
* raw total energy: -5.518 eV/atom